Crystalline KCuPtCl6 at its relaxed geometry. Source: Alexandria via LeMat-Bulk, functional PBE.

Values from the calculation:
Size of the total moment (μB/atom): 0.01
E_form (uncorrected) (eV/f.u.): -7.03
DOS at the Fermi energy (states/eV/f.u.): 5.6
V (Å³ per atom): 27.84
SG: P312, No. 149
Crystal system: trigonal

```
KCuPtCl6
1.0
6.5036 0.0000 -0.0001
3.2519 5.6321 0.0003
0.0003 -0.0002 6.8396
Cl Cu K Pt
6 1 1 1
Direct
0.0191 0.6196 0.6941 Cl
0.3614 0.6195 0.3058 Cl
0.3613 0.0191 0.6942 Cl
0.6195 0.0191 0.3059 Cl
0.6195 0.3614 0.6942 Cl
0.0191 0.3614 0.3058 Cl
0.6666 0.6666 0.5000 Cu
0.0000 0.0000 0.0000 K
0.3333 0.3333 0.5000 Pt
```

Crystalline Mg2Ni2Pd at its relaxed geometry. Source: Alexandria via LeMat-Bulk, functional PBE.

Values from the calculation:
Calculated formation energy (meV per atom): -214.7
Size of the total moment (μB/atom): 0.00
DOS at the Fermi energy (states/eV/f.u.): 2.8
V (Å³ per atom): 15.21
SG: P4/mbm, No. 127
Crystal system: tetragonal

```
Mg2Ni2Pd
1.0
6.4145 0.0000 0.0000
0.0000 6.4145 0.0000
0.0000 0.0000 3.6974
Ni Mg Pd
4 4 2
Direct
0.6241 0.1241 0.0000 Ni
0.3759 0.8759 0.0000 Ni
0.8759 0.6241 0.0000 Ni
0.1241 0.3759 0.0000 Ni
0.8233 0.3233 0.5000 Mg
0.6767 0.8233 0.5000 Mg
0.3233 0.1767 0.5000 Mg
0.1767 0.6767 0.5000 Mg
0.5000 0.5000 0.0000 Pd
0.0000 0.0000 0.0000 Pd
```

Crystalline PrErAu at its relaxed geometry. Source: Alexandria via LeMat-Bulk, functional PBE.

Values from the calculation:
Calculated formation energy (meV per atom): -521.0
Size of the total moment (μB/atom): 0.16
DOS at the Fermi energy (states/eV/f.u.): 4.1
V (Å³ per atom): 27.97
SG: I4mm, No. 107
Crystal system: tetragonal

```
PrErAu
1.0
-1.6844 -3.2202 -0.1396
0.3961 -0.3632 3.5969
-4.9360 4.6712 -0.8233
Au Pr Er
1 1 1
Direct
0.6829 0.6829 0.3658 Au
0.0147 0.0147 0.0294 Pr
0.3024 0.3024 0.6048 Er
```

Crystalline Sr2CoPt at its relaxed geometry. Source: Alexandria via LeMat-Bulk, functional PBE.

Values from the calculation:
Calculated formation energy (meV per atom): 124.3
Size of the total moment (μB/atom): 0.34
DOS at the Fermi energy (states/eV/f.u.): 4.5
V (Å³ per atom): 24.98
SG: I-4m2, No. 119
Crystal system: tetragonal

```
Sr2CoPt
1.0
6.1087 0.2872 0.0000
2.7723 5.4510 0.0000
-4.4405 -2.8691 3.0739
Pt Co Sr
1 1 2
Direct
0.7500 0.2500 0.5000 Pt
0.5000 0.5000 0.0000 Co
0.0000 0.0000 0.0000 Sr
0.2500 0.7500 0.5000 Sr
```

Crystalline InAg3Au3 at its relaxed geometry. Source: Alexandria via LeMat-Bulk, functional PBE.

Values from the calculation:
Calculated formation energy (meV per atom): -34.3
Size of the total moment (μB/atom): 0.00
DOS at the Fermi energy (states/eV/f.u.): 2.4
V (Å³ per atom): 19.97
SG: R-3, No. 148
Crystal system: trigonal

```
InAg3Au3
1.0
-2.3477 -5.5091 3.6587
0.8642 -6.4994 -2.5017
5.2800 -4.4197 3.4634
Ag Au In
6 6 2
Direct
0.9344 0.4253 0.3850 Ag
0.2553 0.9344 0.3850 Ag
0.5747 0.7447 0.6150 Ag
0.4253 0.2553 0.3850 Ag
0.0656 0.5747 0.6150 Ag
0.7447 0.0656 0.6150 Ag
0.2849 0.0895 0.8214 Au
0.7151 0.9105 0.1786 Au
0.8043 0.2849 0.8214 Au
0.1957 0.7151 0.1786 Au
0.9105 0.1957 0.1786 Au
0.0895 0.8043 0.8214 Au
0.3371 0.3371 0.9886 In
0.6629 0.6629 0.0114 In
```

Crystalline MnInFe2 at its relaxed geometry. Source: Alexandria via LeMat-Bulk, functional PBE.

Values from the calculation:
Calculated formation energy (meV per atom): 280.4
Size of the total moment (μB/atom): 1.87
DOS at the Fermi energy (states/eV/f.u.): 3.4
V (Å³ per atom): 14.41
SG: P2/m, No. 10
Crystal system: monoclinic

```
MnInFe2
1.0
-0.9518 2.4880 -2.9622
1.8426 -1.2103 -1.6086
-2.6073 -4.1276 -2.6291
In Mn Fe
1 1 2
Direct
0.5000 0.2500 0.2500 In
0.5000 0.7500 0.7500 Mn
0.0000 0.0013 0.9632 Fe
0.0000 0.4987 0.5369 Fe
```

Crystalline FeCu2Ir at its relaxed geometry. Source: Alexandria via LeMat-Bulk, functional PBE.

Values from the calculation:
Calculated formation energy (meV per atom): 141.0
Size of the total moment (μB/atom): 0.87
DOS at the Fermi energy (states/eV/f.u.): 3.5
V (Å³ per atom): 12.85
SG: Cmmm, No. 65
Crystal system: orthorhombic

```
FeCu2Ir
1.0
4.5286 0.0074 0.0000
-1.5927 4.2392 0.0000
0.0000 0.0000 2.6765
Cu Ir Fe
2 1 1
Direct
0.0000 0.0000 0.0000 Cu
0.5000 0.5000 0.0000 Cu
0.0000 0.5000 0.5000 Ir
0.5000 0.0000 0.5000 Fe
```

Crystalline U2GeN at its relaxed geometry. Source: Alexandria via LeMat-Bulk, functional PBE.

Values from the calculation:
Size of the total moment (μB/atom): 0.63
E_form (uncorrected) (eV/f.u.): -2.52
DOS at the Fermi energy (states/eV/f.u.): 5.8
V (Å³ per atom): 17.31
SG: R-3m, No. 166
Crystal system: trigonal

```
U2GeN
1.0
3.1268 0.0000 0.0000
1.5634 2.7078 0.0000
1.5634 0.9026 8.1765
N U Ge
1 2 1
Direct
0.0000 0.0000 0.0000 N
0.2706 0.2706 0.1882 U
0.7294 0.7294 0.8118 U
0.5000 0.5000 0.5000 Ge
```

- Which of these has the highest DOS at the Fermi energy?
  U2GeN